<i>
NaRe3As, optimized geometry, DFT PBE; space group = Pm-3m, No. 221; DOS(E_F) = 0.59 states/eV per atom
1.0
4.548 0.000 0.000
0.000 4.548 0.000
0.000 0.000 4.548
Na Re As
1 3 1
Cartesian
0.000 0.000 0.000
0.000 0.000 2.274
0.000 2.274 0.000
2.274 0.000 0.000
2.274 2.274 2.274

<ii>
NaRe3As, optimized geometry, DFT PBE; space group = Pm-3m, No. 221; DOS(E_F) = 1.07 states/eV per atom
1.0
4.613 0.000 0.000
0.000 4.613 0.000
0.000 0.000 4.613
Na Re As
1 3 1
Cartesian
0.000 0.000 0.000
0.000 2.307 2.307
2.307 0.000 2.307
2.307 2.307 0.000
2.307 2.307 2.307

Which one sits at the bottom of the stability order? <i> does.

<i>
NaReAs2, optimized geometry, DFT PBE; space group = Fm-3m, No. 225; DOS(E_F) = 0.72 states/eV per atom
1.0
0.000 3.187 3.187
3.187 0.000 3.187
3.187 3.187 0.000
Na Re As
1 1 2
Cartesian
0.000 0.000 0.000
3.187 3.187 3.187
1.594 1.594 1.594
4.781 4.781 4.781

<ii>
NaReAs2, optimized geometry, DFT PBE; space group = R-3m, No. 166; DOS(E_F) = 0.90 states/eV per atom
1.0
1.623 0.937 9.185
-1.623 0.937 9.185
0.000 -1.874 9.185
Na Re As
1 1 2
Cartesian
0.000 0.000 0.000
0.000 0.000 13.777
0.000 0.000 2.863
0.000 0.000 24.691

<iii>
NaReAs2, optimized geometry, DFT PBE; space group = P4/mmm, No. 123; DOS(E_F) = 0.23 states/eV per atom
1.0
3.093 0.000 0.000
0.000 3.093 0.000
0.000 0.000 7.576
Na Re As
1 1 2
Cartesian
0.000 0.000 0.000
0.000 0.000 3.788
1.546 1.546 2.271
1.546 1.546 5.305

Which one sits at the bottom of the stability order? <i> does.

<i>
Na3ReAs, optimized geometry, DFT PBE; space group = Pm-3m, No. 221; DOS(E_F) = 1.14 states/eV per atom
1.0
5.635 0.000 0.000
0.000 5.635 0.000
0.000 0.000 5.635
Na Re As
3 1 1
Cartesian
0.000 0.000 2.817
0.000 2.817 0.000
2.817 0.000 0.000
0.000 0.000 0.000
2.817 2.817 2.817

<ii>
Na3ReAs, optimized geometry, DFT PBE; space group = Pm-3m, No. 221; DOS(E_F) = 0.10 states/eV per atom
1.0
5.517 0.000 0.000
0.000 5.517 0.000
0.000 0.000 5.517
Na Re As
3 1 1
Cartesian
0.000 0.000 2.759
0.000 2.759 0.000
2.759 0.000 0.000
2.759 2.759 2.759
0.000 0.000 0.000

Which one sits at the bottom of the stability order? <i> does.

<i>
NaReAs2Se, optimized geometry, DFT PBE; space group = P4/mmm, No. 123; DOS(E_F) = 1.68 states/eV per atom
1.0
4.763 0.000 0.000
0.000 4.763 0.000
0.000 0.000 4.795
Na Re As Se
1 1 2 1
Cartesian
0.000 0.000 0.000
2.381 2.381 2.398
0.000 2.381 0.000
2.381 0.000 0.000
0.000 0.000 2.398

<ii>
NaReAs2Se, optimized geometry, DFT PBE; space group = P4/mmm, No. 123; DOS(E_F) = 0.98 states/eV per atom
1.0
4.742 0.000 0.000
0.000 4.742 0.000
0.000 0.000 5.591
Na Re As Se
1 1 2 1
Cartesian
0.000 0.000 0.000
2.371 2.371 2.795
0.000 2.371 2.795
2.371 0.000 2.795
2.371 2.371 0.000

Which one sits at the bottom of the stability order? <i> does.